(1)
Compound: NbZnSi2Ru
Source: the Alexandria database
Functional: GGA-PBE
Structure: optimized geometry

Summary:
The magnetic moment is 0.000 Bohr magnetons per cell. The calculation puts the density at 5.17 Mg/m³. The calculation puts the calculated volume at 101.42 Å³ per cell. As for the space group: P4/mmm, No. 123. Its uncorrected formation energy is 0.59 eV per atom.

Lattice parameters (Å, degrees): 4.4729 5.0693 4.4729 90.00 90.00 90.00
Fractional positions:
Ru  0.0000  0.0000  0.0000
Nb  0.0000  0.5000  0.0000
Si  0.0000  0.0000  0.5000
Si  0.5000  0.0000  0.0000
Zn  0.5000  0.5000  0.5000

***

(2)
Compound: Nb2ZnSi2Ru5
Source: the Alexandria database
Functional: GGA-PBE
Structure: optimized geometry

Summary:
The magnetic moment is 0.000 Bohr magnetons per cell. The calculation puts the density at 9.21 Mg/m³. The calculation puts the calculated volume at 293.00 Å³ per cell. As for the space group: P4/mbm, No. 127. Its uncorrected formation energy is -0.39 eV per atom.

Lattice parameters (Å, degrees): 3.1678 9.6173 9.6173 90.00 90.00 90.00
Fractional positions:
Nb  0.0000  0.6737  0.1737
Nb  0.0000  0.3263  0.8263
Nb  0.0000  0.1737  0.3263
Nb  0.0000  0.8263  0.6737
Zn  0.0000  0.0000  0.0000
Zn  0.0000  0.5000  0.5000
Si  0.0000  0.1297  0.6297
Si  0.0000  0.8703  0.3703
Si  0.0000  0.6297  0.8703
Si  0.0000  0.3703  0.1297
Ru  0.5000  0.2066  0.0610
Ru  0.5000  0.7934  0.9390
Ru  0.5000  0.0610  0.7934
Ru  0.5000  0.7066  0.4390
Ru  0.5000  0.9390  0.2066
Ru  0.5000  0.2934  0.5610
Ru  0.5000  0.5610  0.7066
Ru  0.5000  0.4390  0.2934
Ru  0.5000  0.5000  0.0000
Ru  0.5000  0.0000  0.5000